# 1
Compound: Th3FeBi
Source: Alexandria via LeMat-Bulk
Functional: GGA-PBE
Structure: optimized geometry

```
Th3FeBi
1.0
8.7701 0.0000 0.0000
0.0000 4.3557 0.0000
0.0000 0.0000 15.0354
Th Fe Bi
12 4 4
Direct
0.0290 0.2500 0.1000 Th
0.1597 0.2500 0.5024 Th
0.2056 0.7500 0.2907 Th
0.2944 0.2500 0.7907 Th
0.3403 0.7500 0.0024 Th
0.4710 0.7500 0.6000 Th
0.5290 0.2500 0.4000 Th
0.6597 0.2500 0.9976 Th
0.7056 0.7500 0.2093 Th
0.7944 0.2500 0.7093 Th
0.8403 0.7500 0.4976 Th
0.9710 0.7500 0.9000 Th
0.1732 0.2500 0.9387 Fe
0.3268 0.7500 0.4387 Fe
0.6732 0.2500 0.5613 Fe
0.8268 0.7500 0.0613 Fe
0.0824 0.7500 0.6758 Bi
0.4176 0.2500 0.1758 Bi
0.5824 0.7500 0.8242 Bi
0.9176 0.2500 0.3242 Bi
```

Values from the calculation:
Space group: No. 62

---

# 2
Compound: Th6FeBi
Source: Alexandria via LeMat-Bulk
Functional: GGA-PBE
Structure: optimized geometry

```
Th6FeBi
1.0
3.8073 0.0000 0.0000
0.0000 5.4349 5.8584
0.0000 -5.4349 5.8584
Th Fe Bi
6 1 1
Direct
0.0000 0.0000 0.0000 Th
0.0000 0.0876 0.4306 Th
0.0000 0.4306 0.0876 Th
0.5000 0.2738 0.7577 Th
0.5000 0.7493 0.7493 Th
0.5000 0.7577 0.2738 Th
0.5000 0.1660 0.1660 Fe
0.0000 0.5079 0.5079 Bi
```

Values from the calculation:
Space group: No. 38

---

# 3
Compound: Th3FeBi2
Source: Alexandria via LeMat-Bulk
Functional: GGA-PBE
Structure: optimized geometry

```
Th3FeBi2
1.0
13.1217 0.0000 0.0000
0.0000 4.2870 0.0000
0.0000 0.0000 12.1554
Th Fe Bi
12 4 8
Direct
0.0569 0.2500 0.1156 Th
0.1187 0.7500 0.5352 Th
0.2458 0.7500 0.2685 Th
0.2542 0.2500 0.7685 Th
0.3813 0.2500 0.0352 Th
0.4431 0.7500 0.6156 Th
0.5569 0.2500 0.3844 Th
0.6187 0.7500 0.9648 Th
0.7458 0.7500 0.2315 Th
0.7542 0.2500 0.7315 Th
0.8813 0.2500 0.4648 Th
0.9431 0.7500 0.8844 Th
0.1216 0.2500 0.3543 Fe
0.3784 0.7500 0.8543 Fe
0.6216 0.2500 0.1457 Fe
0.8784 0.7500 0.6457 Fe
0.0077 0.2500 0.6992 Bi
0.1937 0.7500 0.9759 Bi
0.3063 0.2500 0.4759 Bi
0.4923 0.7500 0.1992 Bi
0.5077 0.2500 0.8008 Bi
0.6937 0.7500 0.5241 Bi
0.8063 0.2500 0.0241 Bi
0.9923 0.7500 0.3008 Bi
```

Values from the calculation:
Space group: No. 62

---

# 4
Compound: Th3FeBi
Source: Alexandria via LeMat-Bulk
Functional: GGA-PBE
Structure: optimized geometry

```
Th3FeBi
1.0
5.0064 0.0000 0.0000
0.0000 5.1892 0.0000
-0.0079 0.0000 11.2056
Th Fe Bi
6 2 2
Direct
0.9997 0.2500 0.1128 Th
0.0003 0.2500 0.6266 Th
0.9997 0.7500 0.3734 Th
0.0003 0.7500 0.8872 Th
0.4999 0.2500 0.3572 Th
0.5001 0.7500 0.6428 Th
0.0001 0.2500 0.3556 Fe
0.9999 0.7500 0.6444 Fe
0.5004 0.2500 0.8641 Bi
0.4996 0.7500 0.1359 Bi
```

Values from the calculation:
Space group: No. 11

---

One value per record, in order, for E: -7.2491, -7.1142, -6.7395, -7.1641 eV per atom.
One value per record, in order, for energy of formation: -1.6, -0.1, -2.0, -1.2 eV/f.u..
One value per record, in order, for energy relative to the lowest polymorph listed for this composition: 0, 35, 0, 85 meV per atom.